A plane-wave DFT calculation with PBE was carried out for Ba6InP2Br3 after structural relaxation.

Unit cell a=10.970 b=10.970 c=9.981 alpha=103.25 beta=103.25 gamma=24.77
Sites, in units of the cell vectors:
Ba 0.016 0.016 0.260
Ba 0.323 0.323 0.435
Ba 0.333 0.333 0.881
Ba 0.667 0.667 0.119
Ba 0.677 0.677 0.565
Ba 0.984 0.984 0.740
In 0.500 0.500 0.000
P 0.169 0.169 0.342
P 0.831 0.831 0.658
Br 0.169 0.169 0.831
Br 0.500 0.500 0.500
Br 0.831 0.831 0.169

E_tot: -0.2814 Ry per atom
Raw formation energy: -1320 meV/atom